{"formula": "BaCaCoO4", "functional": "PBE with a Hubbard U", "state": "relaxed", "magmom_total_mub_per_atom": 0.71, "mass_density_g_cm3": 4.33, "spacegroup": "P2_1/m", "energy_ev_per_atom": -6.11, "lattice_angstrom": [[-2.751, -0.593, 4.992], [5.027, -1.537, 2.588], [2.328, 6.809, -0.478]], "species": ["Ba", "Ba", "Ca", "Ca", "Co", "Co", "O", "O", "O", "O", "O", "O", "O", "O"], "fractional_positions": [[0.721, 0.750, 0.931], [0.279, 0.250, 0.069], [0.803, 0.750, 0.460], [0.197, 0.250, 0.540], [0.250, 0.750, 0.325], [0.750, 0.250, 0.675], [0.964, 0.487, 0.719], [0.036, 0.987, 0.281], [0.036, 0.513, 0.281], [0.964, 0.013, 0.719], [0.441, 0.750, 0.167], [0.559, 0.250, 0.833], [0.446, 0.750, 0.567], [0.554, 0.250, 0.433]]}